Entry from the Alexandria database: a relaxed TmSi2Ru crystal (PBE-GGA).

volume = 266.6 Å³ per cell
formation energy (no corrections) = -0.729 eV/atom
energy = -27.51 eV per formula unit

a b c (Å): 6.4949 4.1358 9.9232
angles (deg): 90.00 90.00 90.00
Space group Pnma (No. 62)
Unique sites:
Tm: 0.2310 0.2500 0.1792 x4
Si: 0.0398 0.7500 0.3407 x4
Si: 0.2502 0.2500 0.4724 x4
Ru: 0.0869 0.2500 0.9008 x4